Crystalline Pm3GaB2Pt8 at its relaxed geometry. Source: the Alexandria database, functional PBE.

- Energy of formation: -10.6 eV per formula unit

Cell lengths 5.501, 5.501, 9.662 Å; angles 90.00, 90.00, 120.00 degrees
Sites, in units of the cell vectors:
Pt 0.167 0.833 0.279
Pt 0.333 0.667 0.926
Ga 0.000 0.000 0.500
Pt 0.667 0.333 0.074
Pm 0.333 0.667 0.590
Pt 0.334 0.167 0.721
Pt 0.666 0.833 0.279
B 0.333 0.667 0.132
B 0.667 0.333 0.868
Pm 0.667 0.333 0.410
Pt 0.167 0.334 0.279
Pm 0.000 0.000 0.000
Pt 0.833 0.666 0.721
Pt 0.833 0.167 0.721

---

Crystalline AlTeSe2 at its relaxed geometry. Source: the Alexandria database, functional PBE.

- Offset from the most stable computed form: 170 meV per atom

Cell lengths 3.635, 5.903, 7.063 Å; angles 43.60, 90.00, 90.00 degrees
Sites, in units of the cell vectors:
Se 0.500 0.179 0.256
Al 0.500 0.794 0.769
Se 0.000 0.929 0.908
Te 0.000 0.598 0.567

---

Crystalline BaCuSn2 at its relaxed geometry. Source: the Alexandria database, functional PBE.

- Energy of formation: 0.1 eV per formula unit

Cell lengths 5.417, 5.417, 5.417 Å; angles 60.00, 60.00, 60.00 degrees
Sites, in units of the cell vectors:
Cu 0.000 0.000 0.000
Sn 0.250 0.250 0.250
Ba 0.500 0.500 0.500
Sn 0.750 0.750 0.750

---

The records above give, respectively, DOS at the Fermi energy values of 6.18, 1.12, 2.22 states/eV per cell.